Entry 1:
Here is a relaxed structure of TmHfCS from OQMD. Energies are from GGA-PBE.

Geometry as extended XYZ:
```
8
Lattice="3.482 0.000 0.000 -1.741 3.016 0.000 0.000 0.000 12.419" Properties=species:S:1:pos:R:3 pbc="T T T"
Tm 1.741 1.005 1.282
Tm 0.000 2.011 7.491
C 0.000 0.000 12.296
C 0.000 0.000 6.087
Hf 0.000 2.011 11.164
Hf 1.741 1.005 4.955
S 0.000 2.011 3.200
S 1.741 1.005 9.409
```

For the electronic total energy, the calculation gives -8.264 eV per atom. The mass density comes out at 10.0 g cm⁻³. The value obtained for the energy relative to the lowest polymorph listed for this composition is 0 meV/atom. Its symmetry is P6_3mc, No. 186. As for the total magnetization: 0.001 Bohr magnetons per cell.

---

Entry 2:
Here is a relaxed structure of Sc2Al5Hg from OQMD. Energies are from GGA-PBE.

Geometry as extended XYZ:
```
8
Lattice="-3.169 -2.264 -2.730 -0.734 -4.052 4.214 -4.157 0.902 4.077" Properties=species:S:1:pos:R:3 pbc="T T T"
Al -3.750 -0.515 4.780
Al -2.377 -1.643 -0.021
Sc -4.820 -3.216 4.120
Al -4.552 -1.172 2.113
Hg -4.063 -2.617 6.887
Al -1.933 -3.145 4.853
Sc -1.645 -1.059 2.789
Al -2.762 -3.762 2.184
```

For the electronic total energy, the calculation gives -4.306 eV per atom. The mass density comes out at 4.9 g cm⁻³. Its symmetry is Amm2, No. 38. As for the total magnetization: 0.001 Bohr magnetons per cell.

---

Entry 3:
Here is a relaxed structure of RbLiZr from OQMD. Energies are from GGA-PBE.

Geometry as extended XYZ:
```
3
Lattice="0.000 3.906 3.906 3.906 0.000 3.906 3.906 3.906 0.000" Properties=species:S:1:pos:R:3 pbc="T T T"
Li 0.000 0.000 0.000
Rb 1.953 1.953 1.953
Zr 5.859 5.859 5.859
```

For the electronic total energy, the calculation gives -2.396 eV per atom. The mass density comes out at 2.6 g cm⁻³. The value obtained for the energy relative to the lowest polymorph listed for this composition is 0 meV/atom. Its symmetry is F-43m, No. 216. As for the total magnetization: 2.827 Bohr magnetons per cell.

---

Entry 4:
Here is a relaxed structure of NdSiNO from OQMD. Energies are from GGA-PBE.

Geometry as extended XYZ:
```
8
Lattice="-3.870 0.939 -0.028 -0.416 -1.606 3.620 1.620 6.772 3.191" Properties=species:S:1:pos:R:3 pbc="T T T"
N 0.595 2.551 3.390
O 0.000 0.000 0.000
O -2.143 -0.334 1.796
N -1.117 3.888 1.597
Nd 1.159 4.911 4.502
Nd -1.682 1.528 0.485
Si -1.333 3.052 3.392
Si 0.810 3.386 1.595
```

For the electronic total energy, the calculation gives -7.206 eV per atom. The mass density comes out at 5.5 g cm⁻³. The value obtained for the energy relative to the lowest polymorph listed for this composition is 357 meV/atom. Its symmetry is P4/nmm, No. 129. As for the total magnetization: 0.077 Bohr magnetons per cell.

---

Entry 5:
Here is a relaxed structure of SmY2Ni4Ge4 from OQMD. Energies are from GGA-PBE.

Geometry as extended XYZ:
```
11
Lattice="-3.411 3.646 6.084 -7.767 -0.682 1.075 7.125 -3.317 -0.422" Properties=species:S:1:pos:R:3 pbc="T T T"
Sm 0.000 0.000 0.000
Ge -2.439 0.647 1.562
Ge 0.826 -1.898 2.075
Ni -6.446 2.109 6.578
Ge -8.739 2.317 5.597
Ni 2.393 -2.463 0.160
Ni -2.470 1.055 4.031
Y 0.412 0.547 3.757
Y -4.465 -0.901 2.981
Ni -1.584 -1.408 2.706
Ge -4.879 1.545 4.663
```

For the electronic total energy, the calculation gives -6.040 eV per atom. The mass density comes out at 7.5 g cm⁻³. Its symmetry is Immm, No. 71. As for the total magnetization: 0.003 Bohr magnetons per cell.

---

Entry 6:
Here is a relaxed structure of PuScHg from OQMD. Energies are from GGA-PBE.

Geometry as extended XYZ:
```
3
Lattice="0.000 3.418 3.418 3.418 0.000 3.418 3.418 3.418 0.000" Properties=species:S:1:pos:R:3 pbc="T T T"
Hg 1.709 1.709 1.709
Pu 5.128 5.128 5.128
Sc 0.000 0.000 0.000
```

As for the formation energy: 28.5 kJ/mol of atoms. For the electronic total energy, the calculation gives -6.622 eV per atom. The mass density comes out at 10.2 g cm⁻³. The value obtained for the energy relative to the lowest polymorph listed for this composition is 0 meV/atom. Its symmetry is F-43m, No. 216. As for the total magnetization: 6.269 Bohr magnetons per cell.

---

Entry 7:
Here is a relaxed structure of BeGaIr2 from OQMD. Energies are from GGA-PBE.

Geometry as extended XYZ:
```
24
Lattice="-3.246 0.379 2.575 3.506 -1.133 4.587 2.372 12.191 1.198" Properties=species:S:1:pos:R:3 pbc="T T T"
Be -1.226 2.221 1.486
Ir 2.587 7.467 5.527
Ir 1.007 -0.660 4.727
Ga 1.580 8.127 0.800
Ir 0.045 3.969 2.833
Ga 2.106 9.782 4.580
Ir 3.816 5.246 4.039
Be 1.753 -0.567 2.293
Be 0.352 10.348 2.287
Ga 1.316 5.718 4.180
Ir -0.220 1.560 6.214
Be 3.333 7.561 3.093
Ga 0.000 0.000 0.000
Ir 1.798 3.403 5.126
Ir 4.605 9.309 4.439
Be -0.701 3.875 5.266
Be -0.437 6.285 1.886
Ir -0.746 -0.094 2.434
Ir 2.852 9.876 2.146
Ir -1.973 2.127 3.920
Ga -2.454 4.442 2.973
Ir 2.062 5.812 1.746
Ir 0.834 8.033 3.234
Ga 0.526 1.654 3.780
```

For the electronic total energy, the calculation gives -6.606 eV per atom. The mass density comes out at 15.1 g cm⁻³. The value obtained for the energy relative to the lowest polymorph listed for this composition is 14 meV/atom. Its symmetry is Fm-3m, No. 225. As for the total magnetization: 0.003 Bohr magnetons per cell.

---

Entry 8:
Here is a relaxed structure of Cs2Na3ReO6 from OQMD. Energies are from GGA-PBE.

Geometry as extended XYZ:
```
12
Lattice="-0.580 4.281 5.463 -0.278 -6.947 0.416 5.382 0.787 -1.428" Properties=species:S:1:pos:R:3 pbc="T T T"
O 3.452 -2.800 3.139
O 1.072 0.921 1.312
O 0.280 -2.014 4.496
O 1.138 -1.543 0.204
Cs -0.482 0.657 3.834
Re 0.000 0.000 0.000
O 3.386 -0.337 4.247
Na 2.377 -5.204 0.308
Na 2.147 3.325 4.143
Cs -0.375 -3.323 2.045
Na 2.262 -0.940 2.225
O 4.244 0.134 -0.045
```

For the electronic total energy, the calculation gives -5.561 eV per atom. The mass density comes out at 5.0 g cm⁻³. The value obtained for the energy relative to the lowest polymorph listed for this composition is 0 meV/atom. Its symmetry is C2/m, No. 12. As for the total magnetization: 0.001 Bohr magnetons per cell.

---

Entry 9:
Here is a relaxed structure of Er5Te2Pd2 from OQMD. Energies are from GGA-PBE.

Geometry as extended XYZ:
```
18
Lattice="5.783 5.229 -0.951 -6.619 -3.379 -2.542 -8.014 10.194 7.316" Properties=species:S:1:pos:R:3 pbc="T T T"
Er -7.786 7.628 3.566
Te -9.534 9.745 5.105
Er -4.426 0.078 -1.236
Pd -5.467 9.238 3.863
Er -6.465 2.671 0.625
Te 0.684 2.299 -1.282
Er 2.288 8.761 1.756
Er -2.385 9.373 3.198
Er 4.341 6.148 -0.119
Pd -3.383 2.806 -0.041
Te -6.147 5.437 2.013
Er -13.191 5.896 3.942
Pd 1.310 6.063 0.561
Pd -10.160 5.981 3.262
Te -2.703 6.607 1.809
Er -1.064 4.416 0.256
Er -11.137 3.283 2.067
Er -4.424 11.966 5.058
```

For the electronic total energy, the calculation gives -5.355 eV per atom. The mass density comes out at 9.5 g cm⁻³. Its symmetry is Cmcm, No. 63. As for the total magnetization: 0.581 Bohr magnetons per cell.

---

Entry 10:
Here is a relaxed structure of Pr2NdCo2B2N3 from OQMD. Energies are from GGA-PBE.

Geometry as extended XYZ:
```
10
Lattice="-1.827 1.827 10.009 1.827 -1.827 10.009 1.827 1.827 -10.009" Properties=species:S:1:pos:R:3 pbc="T T T"
Co 0.000 1.827 5.005
B 0.000 0.000 3.969
Co 1.827 0.000 5.005
Pr 0.000 0.000 12.590
N 0.000 0.000 17.537
N 0.000 0.000 2.481
Nd 0.000 0.000 0.000
N 0.000 0.000 10.009
B 0.000 0.000 16.049
Pr 0.000 0.000 7.429
```

For the electronic total energy, the calculation gives -7.696 eV per atom. The mass density comes out at 7.6 g cm⁻³. Its symmetry is I4/mmm, No. 139. As for the total magnetization: 0.002 Bohr magnetons per cell.

---

Entry 11:
Here is a relaxed structure of RbCdNO from OQMD. Energies are from GGA-PBE.

Geometry as extended XYZ:
```
8
Lattice="4.398 0.000 0.000 0.000 4.398 0.000 0.000 0.000 9.600" Properties=species:S:1:pos:R:3 pbc="T T T"
Cd 3.298 1.099 4.800
Rb 1.099 1.099 1.552
Cd 1.099 3.298 4.800
O 3.298 1.099 0.000
Rb 3.298 3.298 8.048
O 1.099 3.298 0.000
N 3.298 3.298 4.613
N 1.099 1.099 4.987
```

For the electronic total energy, the calculation gives -3.270 eV per atom. The mass density comes out at 4.1 g cm⁻³. The value obtained for the energy relative to the lowest polymorph listed for this composition is 359 meV/atom. Its symmetry is P4/nmm, No. 129.